Entry from the Alexandria database: TeWO2 after structural relaxation (PBE with a Hubbard U).

It has space group R-3m (No. 166, hexagonal axes), with a = 3.2142 Å, b = 3.2142 Å, c = 31.1771 Å, α = 90.00°, β = 90.00° and γ = 120.00°. The asymmetric unit holds Te at (0.0000, 0.0000, 0.0000), W at (0.0000, 0.0000, 0.5000) and O at (0.0000, 0.0000, 0.1346).

Its density of states at the Fermi level is 3.19 states/eV per cell. The magnetization comes out at 6.9 Bohr magnetons per cell. The value obtained for the uncorrected energy is -6.252 eV/atom.